(1)
# SmDyAl2 PBE relaxed
# Space group: P4/mmm
# Energy above the most stable polymorph in this dataset: 0 meV per atom
# Uncorrected energy: -18.36 eV/cell
# Calculated formation energy: -388 meV per atom
data_SmDyAl2
_cell_length_a 3.640
_cell_length_b 3.640
_cell_length_c 7.261
_cell_angle_alpha 90.00
_cell_angle_beta 90.00
_cell_angle_gamma 90.00
_symmetry_space_group_name_H-M 'P 1'
_symmetry_Int_Tables_number 1
loop_
_symmetry_equiv_pos_as_xyz
'x,y,z'
loop_
_atom_site_label
_atom_site_type_symbol
_atom_site_fract_x
_atom_site_fract_y
_atom_site_fract_z
_atom_site_occupancy
Al1 Al 0.000 0.000 0.241 1
Sm1 Sm 0.500 0.500 0.500 1
Al2 Al 0.000 0.000 0.759 1
Dy1 Dy 0.500 0.500 0.000 1

(2)
# K2SrFe PBE relaxed
# Space group: I4/mmm
# Energy above the most stable polymorph in this dataset: 201 meV per atom
# Uncorrected energy: -9.16 eV/cell
# Calculated formation energy: 796 meV per atom
data_K2SrFe
_cell_length_a 7.537
_cell_length_b 7.537
_cell_length_c 7.537
_cell_angle_alpha 140.82
_cell_angle_beta 140.82
_cell_angle_gamma 56.62
_symmetry_space_group_name_H-M 'P 1'
_symmetry_Int_Tables_number 1
loop_
_symmetry_equiv_pos_as_xyz
'x,y,z'
loop_
_atom_site_label
_atom_site_type_symbol
_atom_site_fract_x
_atom_site_fract_y
_atom_site_fract_z
_atom_site_occupancy
Fe1 Fe 0.250 0.750 0.500 1
Sr1 Sr 0.750 0.250 0.500 1
K1 K 0.000 0.000 0.000 1
K2 K 0.500 0.500 0.000 1

(3)
# LiCd11Hg17 PBE relaxed
# Space group: Cm
# Uncorrected energy: -17.04 eV/cell
# Calculated formation energy: 2 meV per atom
data_LiCd11Hg17
_cell_length_a 9.876
_cell_length_b 9.876
_cell_length_c 9.929
_cell_angle_alpha 113.23
_cell_angle_beta 113.23
_cell_angle_gamma 104.17
_symmetry_space_group_name_H-M 'P 1'
_symmetry_Int_Tables_number 1
loop_
_symmetry_equiv_pos_as_xyz
'x,y,z'
loop_
_atom_site_label
_atom_site_type_symbol
_atom_site_fract_x
_atom_site_fract_y
_atom_site_fract_z
_atom_site_occupancy
Hg1 Hg 0.012 0.323 0.573 1
Hg2 Hg 0.993 0.563 0.273 1
Cd1 Cd 0.179 0.179 0.779 1
Cd2 Cd 0.212 0.409 0.405 1
Cd3 Cd 0.984 0.788 0.587 1
Hg3 Hg 0.730 0.730 0.717 1
Cd4 Cd 0.812 0.616 0.992 1
Hg4 Hg 0.323 0.012 0.573 1
Cd5 Cd 0.409 0.212 0.405 1
Hg5 Hg 0.290 0.737 0.710 1
Cd6 Cd 0.630 0.011 0.807 1
Hg6 Hg 0.284 0.022 0.996 1
Cd7 Cd 0.011 0.630 0.807 1
Hg7 Hg 0.960 0.960 0.358 1
Cd8 Cd 0.616 0.812 0.992 1
Li1 Li 0.377 0.377 0.181 1
Hg8 Hg 0.559 0.286 0.989 1
Cd9 Cd 0.810 0.204 0.197 1
Hg9 Hg 0.645 0.645 0.243 1
Cd10 Cd 0.788 0.984 0.587 1
Hg10 Hg 0.022 0.284 0.996 1
Hg11 Hg 0.425 0.425 0.737 1
Hg12 Hg 0.024 0.024 0.102 1
Hg13 Hg 0.563 0.993 0.273 1
Hg14 Hg 0.737 0.290 0.710 1
Hg15 Hg 0.286 0.559 0.989 1
Hg16 Hg 0.697 0.418 0.413 1
Cd11 Cd 0.204 0.810 0.197 1
Hg17 Hg 0.418 0.697 0.413 1

(4)
# Na12Tl3Zn PBE relaxed
# Space group: P4/mmm
# Uncorrected energy: -24.75 eV/cell
# Calculated formation energy: -35 meV per atom
data_Na12Tl3Zn
_cell_length_a 4.985
_cell_length_b 4.985
_cell_length_c 19.365
_cell_angle_alpha 90.00
_cell_angle_beta 90.00
_cell_angle_gamma 90.00
_symmetry_space_group_name_H-M 'P 1'
_symmetry_Int_Tables_number 1
loop_
_symmetry_equiv_pos_as_xyz
'x,y,z'
loop_
_atom_site_label
_atom_site_type_symbol
_atom_site_fract_x
_atom_site_fract_y
_atom_site_fract_z
_atom_site_occupancy
Na1 Na 0.500 0.000 0.880 1
Tl1 Tl 0.000 0.000 0.247 1
Na2 Na 0.500 0.000 0.374 1
Zn1 Zn 0.000 0.000 0.000 1
Na3 Na 0.000 0.500 0.374 1
Na4 Na 0.500 0.500 0.246 1
Na5 Na 0.500 0.000 0.120 1
Na6 Na 0.000 0.500 0.880 1
Na7 Na 0.500 0.000 0.626 1
Na8 Na 0.500 0.500 0.754 1
Tl2 Tl 0.000 0.000 0.753 1
Tl3 Tl 0.000 0.000 0.500 1
Na9 Na 0.500 0.500 0.000 1
Na10 Na 0.000 0.500 0.626 1
Na11 Na 0.500 0.500 0.500 1
Na12 Na 0.000 0.500 0.120 1

(5)
# Li2ReBr PBE relaxed
# Space group: P4/mmm
# E_form (uncorrected): 173.1 meV per atom
# Energy above the most stable polymorph in this dataset: 69 meV per atom
# Uncorrected energy: -17.26 eV/cell
data_Li2ReBr
_cell_length_a 2.811
_cell_length_b 2.811
_cell_length_c 8.723
_cell_angle_alpha 71.22
_cell_angle_beta 90.00
_cell_angle_gamma 90.00
_symmetry_space_group_name_H-M 'P 1'
_symmetry_Int_Tables_number 1
loop_
_symmetry_equiv_pos_as_xyz
'x,y,z'
loop_
_atom_site_label
_atom_site_type_symbol
_atom_site_fract_x
_atom_site_fract_y
_atom_site_fract_z
_atom_site_occupancy
Re1 Re 0.500 0.250 0.250 1
Li1 Li 0.000 0.491 0.509 1
Li2 Li 0.000 0.009 0.991 1
Br1 Br 0.500 0.750 0.750 1

(6)
# YScCl3 PBE relaxed
# Space group: Pm-3m
# E_form (uncorrected): -1054.4 meV per atom
# Energy above the most stable polymorph in this dataset: 748 meV per atom
# Uncorrected energy: -23.61 eV/cell
data_YScCl3
_cell_length_a 5.010
_cell_length_b 5.010
_cell_length_c 5.010
_cell_angle_alpha 90.00
_cell_angle_beta 90.00
_cell_angle_gamma 90.00
_symmetry_space_group_name_H-M 'P 1'
_symmetry_Int_Tables_number 1
loop_
_symmetry_equiv_pos_as_xyz
'x,y,z'
loop_
_atom_site_label
_atom_site_type_symbol
_atom_site_fract_x
_atom_site_fract_y
_atom_site_fract_z
_atom_site_occupancy
Sc1 Sc 0.000 0.000 0.000 1
Cl1 Cl 0.000 0.500 0.000 1
Cl2 Cl 0.000 0.000 0.500 1
Cl3 Cl 0.500 0.000 0.000 1
Y1 Y 0.500 0.500 0.500 1